MgCuPb, optimized geometry, DFT PBE; SG = No. 194; total energy = -2.750 eV per atom; crystal system = hexagonal
1.0
4.929 0.000 0.000
-2.465 4.269 0.000
0.000 0.000 5.889
Mg Cu Pb
2 2 2
Direct
0.333 0.667 0.250
0.667 0.333 0.750
0.000 0.000 0.000
0.000 0.000 0.500
0.333 0.667 0.750
0.667 0.333 0.250

Zr4CdInN2, optimized geometry, DFT PBE; SG = No. 187; total energy = -7.822 eV per atom; crystal system = hexagonal
1.0
3.311 0.000 0.000
-1.655 2.867 0.000
0.000 0.000 14.860
Zr Cd In N
4 1 1 2
Direct
0.000 0.000 0.167
0.000 0.000 0.833
0.333 0.667 0.333
0.333 0.667 0.667
0.333 0.667 0.000
0.000 0.000 0.500
0.667 0.333 0.249
0.667 0.333 0.751

SiAsW4C2, optimized geometry, DFT PBE; SG = No. 187; total energy = -9.895 eV per atom; crystal system = hexagonal
1.0
3.171 0.000 0.000
-1.586 2.747 0.000
0.000 0.000 12.277
Si As W C
1 1 4 2
Direct
0.000 0.000 0.000
0.667 0.333 0.500
0.000 0.000 0.336
0.000 0.000 0.664
0.667 0.333 0.153
0.667 0.333 0.847
0.333 0.667 0.247
0.333 0.667 0.753

LiAgBi, optimized geometry, DFT PBE; SG = No. 216; total energy = -3.009 eV per atom; crystal system = cubic
1.0
0.000 3.194 3.194
3.194 0.000 3.194
3.194 3.194 0.000
Li Ag Bi
1 1 1
Direct
0.000 0.000 0.000
0.750 0.750 0.750
0.250 0.250 0.250

TbYTeO2, optimized geometry, DFT PBE; SG = No. 107; excess energy over the best structure of this formula in the dataset = 0.000 eV per atom; total energy = -7.777 eV per atom; crystal system = tetragonal
1.0
-1.964 1.964 6.231
1.964 -1.964 6.231
1.964 1.964 -6.231
Tb Y Te O
1 1 1 2
Direct
0.000 0.000 0.000
0.324 0.324 0.000
0.662 0.662 0.000
0.412 0.912 0.500
0.912 0.412 0.500

Ba11Cd6Sb12, optimized geometry, DFT PBE; SG = No. 12; total energy = -3.466 eV per atom; crystal system = monoclinic
1.0
17.254 -2.476 0.000
17.254 2.476 0.000
-4.501 0.000 12.543
Ba Cd Sb
11 6 12
Direct
0.000 0.000 0.000
0.018 0.018 0.679
0.113 0.113 0.509
0.126 0.126 0.020
0.199 0.199 0.347
0.280 0.280 0.134
0.720 0.720 0.866
0.801 0.801 0.653
0.874 0.874 0.980
0.887 0.887 0.491
0.982 0.982 0.321
0.218 0.218 0.671
0.401 0.401 0.254
0.454 0.454 0.759
0.546 0.546 0.241
0.599 0.599 0.746
0.782 0.782 0.329
0.087 0.087 0.236
0.147 0.147 0.783
0.294 0.294 0.857
0.307 0.307 0.457
0.453 0.453 0.120
0.458 0.458 0.494
0.542 0.542 0.506
0.547 0.547 0.880
0.693 0.693 0.543
0.706 0.706 0.143
0.853 0.853 0.217
0.913 0.913 0.764

UNiIr, optimized geometry, DFT PBE; SG = No. 216; excess energy over the best structure of this formula in the dataset = 0.000 eV per atom; ΔE_f = -0.1332 eV/atom; total energy = -8.706 eV per atom; crystal system = cubic
1.0
0.000 2.989 2.989
2.989 0.000 2.989
2.989 2.989 0.000
U Ni Ir
1 1 1
Direct
0.000 0.000 0.000
0.250 0.250 0.250
0.500 0.500 0.500

Li2MgCdIn2Cu2, optimized geometry, DFT PBE; SG = No. 115; total energy = -2.572 eV per atom; crystal system = tetragonal
1.0
4.560 0.000 0.000
0.000 4.560 0.000
0.000 0.000 6.451
Li Mg Cd In Cu
2 1 1 2 2
Direct
0.000 0.500 0.246
0.500 0.000 0.754
0.000 0.000 0.500
0.500 0.500 0.000
0.000 0.000 0.000
0.500 0.500 0.500
0.000 0.500 0.744
0.500 0.000 0.256

BaZrCuAu, optimized geometry, DFT PBE; SG = No. 216; excess energy over the best structure of this formula in the dataset = 0.000 eV per atom; total energy = -4.196 eV per atom; crystal system = cubic
1.0
0.000 3.659 3.659
3.659 0.000 3.659
3.659 3.659 0.000
Ba Zr Cu Au
1 1 1 1
Direct
0.000 0.000 0.000
0.500 0.500 0.500
0.250 0.250 0.250
0.750 0.750 0.750

Lu2Hf4Ga3C3, optimized geometry, DFT PBE; SG = No. 15; total energy = -7.857 eV per atom; crystal system = monoclinic
1.0
4.995 -2.884 0.000
4.995 2.884 0.000
-3.408 0.000 14.251
Lu Hf Ga C
4 8 6 6
Direct
0.036 0.872 0.606
0.128 0.964 0.894
0.872 0.036 0.106
0.964 0.128 0.394
0.194 0.357 0.084
0.300 0.478 0.416
0.357 0.194 0.584
0.478 0.300 0.916
0.522 0.700 0.084
0.643 0.806 0.416
0.700 0.522 0.584
0.806 0.643 0.916
0.085 0.369 0.751
0.369 0.085 0.251
0.459 0.541 0.250
0.541 0.459 0.750
0.631 0.915 0.749
0.915 0.631 0.249
0.000 0.500 0.500
0.170 0.661 0.000
0.339 0.830 0.500
0.500 0.000 0.000
0.661 0.170 0.500
0.830 0.339 0.000

Ho2Al3InNi2, optimized geometry, DFT PBE; SG = No. 8; total energy = -4.864 eV per atom; crystal system = monoclinic
1.0
5.086 -2.054 0.000
5.086 2.054 0.000
-0.061 0.000 6.992
Ho Al In Ni
2 3 1 2
Direct
0.000 0.000 0.000
0.127 0.127 0.520
0.411 0.411 0.313
0.412 0.412 0.699
0.722 0.722 0.806
0.707 0.707 0.207
0.288 0.288 0.993
0.857 0.857 0.515

ErPaO3, optimized geometry, DFT PBE; SG = No. 221; total energy = -8.001 eV per atom; crystal system = cubic
1.0
4.240 0.000 0.000
0.000 4.240 0.000
0.000 0.000 4.240
Er Pa O
1 1 3
Direct
0.000 0.000 0.000
0.500 0.500 0.500
0.000 0.000 0.500
0.000 0.500 0.000
0.500 0.000 0.000

Q: Among the records above, which one has the lowest total energy?
A: SiAsW4C2